12
Lattice="6.319 -0.679 0.000 -2.521 8.864 0.000 -1.899 -4.093 6.917" Properties=species:S:1:pos:R:3 comment="Nd4TmZn, relaxed, DFT PBE" delta_e_f_ev_per_atom=0.01 e_above_lowest_polymorph_ev_per_atom=0.0965 pbc="T T T"
Nd -1.626 -1.714 5.391
Nd 1.828 3.211 4.373
Nd -1.534 2.053 5.391
Nd -1.190 5.313 4.373
Nd 3.089 -1.221 2.543
Nd 3.432 2.040 1.526
Nd 0.070 0.881 2.543
Nd 3.524 5.807 1.526
Tm 0.319 4.262 1.296
Tm 1.580 -0.170 5.620
Zn 1.580 -0.170 0.008
Zn 0.319 4.262 6.908

***

14
Lattice="7.215 0.923 0.083 -2.388 6.871 0.083 -0.650 -1.049 7.544" Properties=species:S:1:pos:R:3 comment="Tm3Bi3C, relaxed, DFT PBE" delta_e_f_ev_per_atom=-0.41 pbc="T T T"
Tm 4.250 6.862 1.400
Tm 4.658 4.115 5.736
Tm 1.609 6.003 5.736
Tm -0.480 2.629 1.975
Tm 2.568 0.741 1.975
Tm -0.073 -0.118 6.310
Bi 2.513 4.057 2.397
Bi -0.890 5.217 3.855
Bi 5.067 1.527 3.855
Bi 0.508 5.077 0.083
Bi 4.320 2.716 0.083
Bi 1.665 2.688 5.313
C 3.574 5.770 6.667
C 0.604 0.975 1.043

***

4
Lattice="8.379 -0.015 -0.009 7.792 3.081 -0.009 7.792 1.477 2.704" Properties=species:S:1:pos:R:3 comment="Mn2AgCl, relaxed, DFT PBE" e_form_raw_ev_per_atom=0.185 e_above_lowest_polymorph_ev_per_atom=0.0774 pbc="T T T"
Mn 0.074 0.014 0.008
Mn 11.908 2.258 1.335
Ag 5.991 1.136 0.672
Cl 17.973 3.408 2.015

***

10
Lattice="-5.961 -2.163 -5.451 -2.382 -6.213 5.070 -8.575 0.054 2.940" Properties=species:S:1:pos:R:3 comment="Cs2SrPdI6, relaxed, DFT PBE" e_form_raw_ev_per_atom=-1.110 pbc="T T T"
Cs -9.352 -3.150 -1.353
Cs -7.566 -5.171 3.912
Sr 0.000 0.000 0.000
Pd -4.171 -4.188 -0.190
I -6.531 -1.915 1.487
I -14.617 -6.010 2.658
I -3.373 -5.098 2.167
I -13.545 -3.223 0.392
I -2.301 -2.312 -0.099
I -10.386 -6.406 1.072

***

Per-record electronic total energy, eV/atom: -4.13 -5.30 -5.57 -2.90